No. 1
FeCuSCl2, optimized geometry, DFT PBE; energy above the lowest structure with this stoichiometry = 0.130 eV per atom; symmetry = P4/mmm, No. 123; E_form (uncorrected) = 179 kJ/mol of formula units; energy = -3.7050 eV/atom
1.0
-2.789 0.792 3.490
-0.341 -4.464 0.741
3.813 0.206 3.001
S Fe Cu Cl
1 1 1 2
Direct
0.000 0.000 0.500
0.500 0.500 0.500
0.000 0.000 0.000
0.000 0.500 0.000
0.500 0.000 0.000

=====

No. 2
Sc2NbRu, optimized geometry, DFT PBE; energy above the lowest structure with this stoichiometry = 0.394 eV per atom; symmetry = R-3m, No. 166; energy = -7.8220 eV/atom; energy relative to the elements = 0.720 eV/f.u.
1.0
1.761 0.000 9.717
-0.880 1.525 9.717
-0.880 -1.525 9.717
Sc Ru Nb
2 1 1
Direct
0.902 0.902 0.902
0.098 0.098 0.098
0.500 0.500 0.500
0.000 0.000 0.000

=====

No. 3
Y2Pa3C4, optimized geometry, DFT PBE; symmetry = C2/m, No. 12; energy = -9.0715 eV/atom; energy relative to the elements = -3.332 eV/f.u.
1.0
3.486 0.000 0.857
1.545 5.950 1.232
-0.119 0.521 8.000
Y Pa C
2 3 4
Direct
0.607 0.177 0.608
0.393 0.823 0.392
0.000 0.000 0.000
0.201 0.400 0.198
0.799 0.600 0.802
0.795 0.122 0.288
0.205 0.878 0.712
0.390 0.305 0.915
0.610 0.695 0.085

=====

What did the third record say?
Y2Pa3C4, optimized geometry, DFT PBE; symmetry = C2/m, No. 12; energy = -9.0715 eV/atom; energy relative to the elements = -3.332 eV/f.u.
1.0
3.486 0.000 0.857
1.545 5.950 1.232
-0.119 0.521 8.000
Y Pa C
2 3 4
Direct
0.607 0.177 0.608
0.393 0.823 0.392
0.000 0.000 0.000
0.201 0.400 0.198
0.799 0.600 0.802
0.795 0.122 0.288
0.205 0.878 0.712
0.390 0.305 0.915
0.610 0.695 0.085